Entry 1:
First-principles (GGA-PBE) data for an optimized crystal structure of BaZn2As2, as listed in Alexandria via LeMat-Bulk.

Lattice parameters (Å, degrees): 10.132 4.297 11.002 90.00 90.00 90.00
Fractional coordinates of all 20 atoms:
Ba1 0.248 0.250 0.175
Ba2 0.252 0.750 0.675
Ba3 0.748 0.250 0.325
Ba4 0.752 0.750 0.825
Zn1 0.049 0.250 0.883
Zn2 0.099 0.250 0.450
Zn3 0.401 0.750 0.950
Zn4 0.451 0.750 0.383
Zn5 0.549 0.250 0.617
Zn6 0.599 0.250 0.050
Zn7 0.901 0.750 0.550
Zn8 0.951 0.750 0.117
As1 0.022 0.750 0.340
As2 0.150 0.750 0.961
As3 0.350 0.250 0.461
As4 0.478 0.250 0.840
As5 0.522 0.750 0.160
As6 0.650 0.750 0.539
As7 0.850 0.250 0.039
As8 0.978 0.250 0.660

=====

Entry 2:
First-principles (GGA-PBE) data for an optimized crystal structure of Ba2ZnAs2, as listed in Alexandria via LeMat-Bulk.

Lattice parameters (Å, degrees): 7.816 7.816 7.816 131.77 131.77 70.60
Fractional coordinates of all 5 atoms:
Ba1 0.250 0.750 0.500
Ba2 0.750 0.250 0.500
Zn1 0.000 0.000 0.000
As1 0.182 0.182 0.000
As2 0.818 0.818 0.000

=====

Entry 3:
First-principles (GGA-PBE) data for an optimized crystal structure of BaZnAs2, as listed in Alexandria via LeMat-Bulk.

Lattice parameters (Å, degrees): 3.888 3.888 6.775 90.00 90.00 100.44
Fractional coordinates of all 4 atoms:
Ba1 0.000 0.000 0.000
Zn1 0.000 0.000 0.500
As1 0.500 0.500 0.316
As2 0.500 0.500 0.684

=====

Entry 4:
First-principles (GGA-PBE) data for an optimized crystal structure of BaZnAs, as listed in Alexandria via LeMat-Bulk.

Lattice parameters (Å, degrees): 5.306 5.306 5.306 60.00 60.00 60.00
Fractional coordinates of all 3 atoms:
Ba1 0.000 0.000 0.000
Zn1 0.250 0.250 0.250
As1 0.750 0.750 0.750

=====

Entry 5:
First-principles (GGA-PBE) data for an optimized crystal structure of Ba2ZnAs, as listed in Alexandria via LeMat-Bulk.

Lattice parameters (Å, degrees): 8.737 8.737 8.737 31.95 31.95 31.95
Fractional coordinates of all 4 atoms:
Ba1 0.237 0.237 0.237
Ba2 0.763 0.763 0.763
Zn1 0.000 0.000 0.000
As1 0.500 0.500 0.500

=====

Entry 6:
First-principles (GGA-PBE) data for an optimized crystal structure of BaZnAs2, as listed in Alexandria via LeMat-Bulk.

Lattice parameters (Å, degrees): 4.724 4.724 4.521 90.00 90.00 90.00
Fractional coordinates of all 4 atoms:
Ba1 0.000 0.000 0.000
Zn1 0.500 0.500 0.000
As1 0.000 0.500 0.500
As2 0.500 0.000 0.500

=====

Entry 7:
First-principles (GGA-PBE) data for an optimized crystal structure of BaZnAs2, as listed in Alexandria via LeMat-Bulk.

Lattice parameters (Å, degrees): 6.260 6.260 6.260 43.33 43.33 43.33
Fractional coordinates of all 4 atoms:
Ba1 0.000 0.000 0.000
Zn1 0.500 0.500 0.500
As1 0.202 0.202 0.202
As2 0.798 0.798 0.798

=====

Entry 8:
First-principles (GGA-PBE) data for an optimized crystal structure of BaZnAs, as listed in Alexandria via LeMat-Bulk.

Lattice parameters (Å, degrees): 4.379 4.379 4.981 90.00 90.00 120.00
Fractional coordinates of all 3 atoms:
Ba1 0.000 0.000 0.000
Zn1 0.667 0.333 0.500
As1 0.333 0.667 0.500

=====

Entry 9:
First-principles (GGA-PBE) data for an optimized crystal structure of BaZn2As, as listed in Alexandria via LeMat-Bulk.

Lattice parameters (Å, degrees): 5.655 5.655 5.655 130.41 130.41 72.75
Fractional coordinates of all 4 atoms:
Ba1 0.000 0.000 0.000
Zn1 0.250 0.750 0.500
Zn2 0.750 0.250 0.500
As1 0.500 0.500 0.000

=====

Entry 10:
First-principles (GGA-PBE) data for an optimized crystal structure of Ba4ZnAs, as listed in Alexandria via LeMat-Bulk.

Lattice parameters (Å, degrees): 7.132 7.132 7.132 60.00 60.00 60.00
Fractional coordinates of all 6 atoms:
Ba1 0.376 0.376 0.376
Ba2 0.376 0.376 0.871
Ba3 0.376 0.871 0.376
Ba4 0.871 0.376 0.376
Zn1 0.000 0.000 0.000
As1 0.750 0.750 0.750

=====

Entry 11:
First-principles (GGA-PBE) data for an optimized crystal structure of BaZnAs2, as listed in Alexandria via LeMat-Bulk.

Lattice parameters (Å, degrees): 6.226 6.226 6.226 44.09 44.09 44.09
Fractional coordinates of all 4 atoms:
Ba1 0.000 0.000 0.000
Zn1 0.783 0.783 0.783
As1 0.203 0.203 0.203
As2 0.497 0.497 0.497

=====

Entry 12:
First-principles (GGA-PBE) data for an optimized crystal structure of Ba3ZnAs3, as listed in Alexandria via LeMat-Bulk.

Lattice parameters (Å, degrees): 10.656 10.656 13.517 90.00 90.00 37.55
Fractional coordinates of all 28 atoms:
Ba1 0.030 0.625 0.130
Ba2 0.125 0.530 0.630
Ba3 0.191 0.809 0.854
Ba4 0.309 0.691 0.354
Ba5 0.375 0.970 0.130
Ba6 0.470 0.875 0.630
Ba7 0.530 0.125 0.370
Ba8 0.625 0.030 0.870
Ba9 0.691 0.309 0.646
Ba10 0.809 0.191 0.146
Ba11 0.875 0.470 0.370
Ba12 0.970 0.375 0.870
Zn1 0.083 0.083 0.500
Zn2 0.417 0.417 0.000
Zn3 0.583 0.583 0.000
Zn4 0.917 0.917 0.500
As1 0.041 0.640 0.384
As2 0.140 0.541 0.884
As3 0.206 0.794 0.602
As4 0.294 0.706 0.102
As5 0.360 0.959 0.384
As6 0.459 0.860 0.884
As7 0.541 0.140 0.116
As8 0.640 0.041 0.616
As9 0.706 0.294 0.898
As10 0.794 0.206 0.398
As11 0.860 0.459 0.116
As12 0.959 0.360 0.616

=====

DFT formation energy, record by record: -0.68, -0.74, -0.27, -0.09, -0.58, -0.21, -0.41, -0.68, -0.17, 0.38, -0.38, -0.93 eV/atom
Theoretical density, record by record: 5.8, 3.1, 5.8, 4.4, 4.2, 5.8, 5.6, 5.6, 5.6, 4.5, 5.5, 5.0 Mg/m³